{
  "formula": "Cu2SnRu",
  "functional": "GGA-PBE",
  "state": "optimized geometry",
  "cell": [[-1.954, 3.057, 0.884], [-2.695, -1.037, -2.368], [-6.582, -3.710, 6.171]],
  "species": ["Ru", "Ru", "Cu", "Cu", "Cu", "Cu", "Sn", "Sn"],
  "frac_coords": [[0.250, 0.750, 0.500], [0.500, 0.500, 0.000], [0.145, 0.625, 0.250], [0.605, 0.125, 0.250], [0.375, 0.395, 0.750], [0.875, 0.855, 0.750], [0.750, 0.250, 0.500], [0.000, 0.000, 0.000]],
  "spacegroup": "I-42d",
  "e_form_ev_per_atom": 0.363,
  "total_magnetization_mub_per_cell": 0.0,
  "dos_at_fermi_per_ev_atom": 0.82
}